Arrangement 1

# Li2BiAsH

Crystalline Li2BiAsH at its relaxed geometry (PBE, the Alexandria database).

```
Li2BiAsH
1.0
4.436 0.000 0.000
0.000 4.436 0.000
0.000 0.000 4.486
Li Bi As H
2 1 1 1
direct
0.000 0.500 0.000 Li
0.500 0.000 0.000 Li
0.000 0.000 0.500 Bi
0.500 0.500 0.500 As
0.000 0.000 0.000 H
```

Calculated values
Spin magnetization = 0.000 μB/f.u.
N(E_F) = 0.279 states/eV/atom
SG = No. 123

Arrangement 2

# Li2BiAsH

Crystalline Li2BiAsH at its relaxed geometry (PBE, the Alexandria database).

```
Li2BiAsH
1.0
4.582 0.000 0.000
0.000 4.582 0.000
0.000 0.000 4.031
Li Bi As H
2 1 1 1
direct
0.000 0.500 0.000 Li
0.500 0.000 0.000 Li
0.000 0.000 0.500 Bi
0.500 0.500 0.500 As
0.500 0.500 0.000 H
```

Calculated values
Spin magnetization = 0.000 μB/f.u.
N(E_F) = 0.270 states/eV/atom
SG = No. 123

So which one wins? Going from most stable to least: arrangement 2, arrangement 1.

Arrangement 1

# BiAsHSe2

Crystalline BiAsHSe2 at its relaxed geometry (PBE, the Alexandria database).

```
BiAsHSe2
1.0
5.594 0.000 0.000
0.000 5.594 0.000
0.000 0.000 5.659
Bi As H Se
1 1 1 2
direct
0.000 0.000 0.000 Bi
0.000 0.000 0.500 As
0.500 0.500 0.500 H
0.000 0.500 0.000 Se
0.500 0.000 0.000 Se
```

Calculated values
Spin magnetization = 2.105 μB/f.u.
N(E_F) = 1.370 states/eV/atom
SG = No. 123

Arrangement 2

# BiAsHSe2

Crystalline BiAsHSe2 at its relaxed geometry (PBE, the Alexandria database).

```
BiAsHSe2
1.0
5.161 0.000 0.000
0.000 5.161 0.000
0.000 0.000 3.602
Bi As H Se
1 1 1 2
direct
0.000 0.000 0.000 Bi
0.500 0.500 0.000 As
0.500 0.500 0.500 H
0.000 0.500 0.500 Se
0.500 0.000 0.500 Se
```

Calculated values
Spin magnetization = 0.000 μB/f.u.
N(E_F) = 0.530 states/eV/atom
SG = No. 123

So which one wins? Going from most stable to least: arrangement 2, arrangement 1.

Arrangement 1

# HfBiAs3

Crystalline HfBiAs3 at its relaxed geometry (PBE, the Alexandria database).

```
HfBiAs3
1.0
5.158 0.000 0.000
0.000 5.158 0.000
0.000 0.000 5.158
Hf Bi As
1 1 3
direct
0.000 0.000 0.000 Hf
0.500 0.500 0.500 Bi
0.000 0.000 0.500 As
0.000 0.500 0.000 As
0.500 0.000 0.000 As
```

Calculated values
Spin magnetization = 0.000 μB/f.u.
N(E_F) = 0.976 states/eV/atom
SG = No. 221

Arrangement 2

# HfBiAs3

Crystalline HfBiAs3 at its relaxed geometry (PBE, the Alexandria database).

```
HfBiAs3
1.0
5.257 0.000 0.000
0.000 5.257 0.000
0.000 0.000 5.257
Hf Bi As
1 1 3
direct
0.000 0.000 0.000 Hf
0.500 0.500 0.500 Bi
0.000 0.500 0.500 As
0.500 0.000 0.500 As
0.500 0.500 0.000 As
```

Calculated values
Spin magnetization = 0.000 μB/f.u.
N(E_F) = 0.654 states/eV/atom
SG = No. 221

So which one wins? Going from most stable to least: arrangement 1, arrangement 2.

Arrangement 1

# Hf4Bi2As

Crystalline Hf4Bi2As at its relaxed geometry (PBE, the Alexandria database).

```
Hf4Bi2As
1.0
7.931 0.000 0.000
0.000 11.312 0.000
0.000 0.000 3.692
Hf Bi As
8 4 2
direct
0.130 0.215 0.000 Hf
0.202 0.911 0.500 Hf
0.298 0.411 0.500 Hf
0.370 0.715 0.000 Hf
0.630 0.285 0.000 Hf
0.702 0.589 0.500 Hf
0.798 0.089 0.500 Hf
0.870 0.785 0.000 Hf
0.087 0.642 0.500 Bi
0.413 0.142 0.500 Bi
0.587 0.858 0.500 Bi
0.913 0.358 0.500 Bi
0.000 0.000 0.000 As
0.500 0.500 0.000 As
```

Calculated values
Spin magnetization = 0.000 μB/f.u.
N(E_F) = 0.524 states/eV/atom
SG = No. 55

Arrangement 2

# Hf4Bi2As

Crystalline Hf4Bi2As at its relaxed geometry (PBE, the Alexandria database).

```
Hf4Bi2As
1.0
-2.445 2.445 7.627
2.445 -2.445 7.627
2.445 2.445 -7.627
Hf Bi As
4 2 1
direct
0.000 0.500 0.500 Hf
0.168 0.168 0.000 Hf
0.500 0.000 0.500 Hf
0.832 0.832 0.000 Hf
0.360 0.360 0.000 Bi
0.640 0.640 0.000 Bi
0.000 0.000 0.000 As
```

Calculated values
Spin magnetization = 0.000 μB/f.u.
N(E_F) = 1.260 states/eV/atom
SG = No. 139

So which one wins? Going from most stable to least: arrangement 1, arrangement 2.

Arrangement 1

# HfBi3As

Crystalline HfBi3As at its relaxed geometry (PBE, the Alexandria database).

```
HfBi3As
1.0
5.605 0.000 0.000
0.000 5.605 0.000
0.000 0.000 5.605
Hf Bi As
1 3 1
direct
0.000 0.000 0.000 Hf
0.000 0.000 0.500 Bi
0.000 0.500 0.000 Bi
0.500 0.000 0.000 Bi
0.500 0.500 0.500 As
```

Calculated values
Spin magnetization = 1.469 μB/f.u.
N(E_F) = 1.154 states/eV/atom
SG = No. 221

Arrangement 2

# HfBi3As

Crystalline HfBi3As at its relaxed geometry (PBE, the Alexandria database).

```
HfBi3As
1.0
5.438 0.000 0.000
0.000 5.438 0.000
0.000 0.000 5.438
Hf Bi As
1 3 1
direct
0.000 0.000 0.000 Hf
0.000 0.500 0.500 Bi
0.500 0.000 0.500 Bi
0.500 0.500 0.000 Bi
0.500 0.500 0.500 As
```

Calculated values
Spin magnetization = 0.000 μB/f.u.
N(E_F) = 0.631 states/eV/atom
SG = No. 221

So which one wins? Going from most stable to least: arrangement 1, arrangement 2.

Arrangement 1

# HgBiAs2

Crystalline HgBiAs2 at its relaxed geometry (PBE, the Alexandria database).

```
HgBiAs2
1.0
-3.185 3.185 6.471
3.185 -3.185 6.471
3.185 3.185 -6.471
Hg Bi As
2 2 4
direct
0.000 0.000 0.000 Hg
0.750 0.250 0.500 Hg
0.250 0.750 0.500 Bi
0.500 0.500 0.000 Bi
0.108 0.625 0.983 As
0.375 0.358 0.483 As
0.642 0.125 0.017 As
0.875 0.892 0.517 As
```

Calculated values
Spin magnetization = 0.000 μB/f.u.
N(E_F) = 0.937 states/eV/atom
SG = No. 122

Arrangement 2

# HgBiAs2

Crystalline HgBiAs2 at its relaxed geometry (PBE, the Alexandria database).

```
HgBiAs2
1.0
2.075 1.198 6.748
-2.075 1.198 6.748
0.000 -2.396 6.748
Hg Bi As
1 1 2
direct
0.000 0.000 0.000 Hg
0.500 0.500 0.500 Bi
0.255 0.255 0.255 As
0.745 0.745 0.745 As
```

Calculated values
Spin magnetization = 0.000 μB/f.u.
N(E_F) = 0.566 states/eV/atom
SG = No. 166

So which one wins? Going from most stable to least: arrangement 2, arrangement 1.

Arrangement 1

# Hg2Bi2As

Crystalline Hg2Bi2As at its relaxed geometry (PBE, the Alexandria database).

```
Hg2Bi2As
1.0
7.767 0.000 0.000
0.000 7.767 0.000
0.000 0.000 4.876
Hg Bi As
4 4 2
direct
0.166 0.334 0.000 Hg
0.334 0.834 0.000 Hg
0.666 0.166 0.000 Hg
0.834 0.666 0.000 Hg
0.149 0.649 0.500 Bi
0.351 0.149 0.500 Bi
0.649 0.851 0.500 Bi
0.851 0.351 0.500 Bi
0.000 0.000 0.500 As
0.500 0.500 0.500 As
```

Calculated values
Spin magnetization = 0.000 μB/f.u.
N(E_F) = 0.558 states/eV/atom
SG = No. 127

Arrangement 2

# Hg2Bi2As

Crystalline Hg2Bi2As at its relaxed geometry (PBE, the Alexandria database).

```
Hg2Bi2As
1.0
-2.026 2.026 8.933
2.026 -2.026 8.933
2.026 2.026 -8.933
Hg Bi As
2 2 1
direct
0.250 0.750 0.500 Hg
0.750 0.250 0.500 Hg
0.085 0.085 0.000 Bi
0.915 0.915 0.000 Bi
0.500 0.500 0.000 As
```

Calculated values
Spin magnetization = 0.000 μB/f.u.
N(E_F) = 0.526 states/eV/atom
SG = No. 139

So which one wins? Going from most stable to least: arrangement 2, arrangement 1.

Arrangement 1

# HgBiAs

Crystalline HgBiAs at its relaxed geometry (PBE, the Alexandria database).

```
HgBiAs
1.0
0.000 3.541 3.541
3.541 0.000 3.541
3.541 3.541 0.000
Hg Bi As
1 1 1
direct
0.000 0.000 0.000 Hg
0.500 0.500 0.500 Bi
0.250 0.250 0.250 As
```

Calculated values
Spin magnetization = 0.000 μB/f.u.
N(E_F) = 0.362 states/eV/atom
SG = No. 216

Arrangement 2

# HgBiAs

Crystalline HgBiAs at its relaxed geometry (PBE, the Alexandria database).

```
HgBiAs
1.0
3.540 -2.046 0.000
3.540 2.046 0.000
-2.338 0.000 6.637
Hg Bi As
1 1 1
direct
0.000 0.000 0.000 Hg
0.471 0.471 0.414 Bi
0.214 0.214 0.645 As
```

Calculated values
Spin magnetization = 0.000 μB/f.u.
N(E_F) = 0.111 states/eV/atom
SG = No. 8

Arrangement 3

# HgBiAs

Crystalline HgBiAs at its relaxed geometry (PBE, the Alexandria database).

```
HgBiAs
1.0
-1.834 1.834 6.394
1.834 -1.834 6.394
1.834 1.834 -6.394
Hg Bi As
1 1 1
direct
0.000 0.000 0.000 Hg
0.708 0.708 0.000 Bi
0.317 0.317 0.000 As
```

Calculated values
Spin magnetization = 0.000 μB/f.u.
N(E_F) = 0.423 states/eV/atom
SG = No. 107

Arrangement 4

# HgBiAs

Crystalline HgBiAs at its relaxed geometry (PBE, the Alexandria database).

```
HgBiAs
1.0
6.695 -2.078 0.000
6.695 2.078 0.000
-0.018 0.000 6.125
Hg Bi As
2 2 2
direct
0.016 0.016 0.250 Hg
0.984 0.984 0.750 Hg
0.324 0.324 0.250 Bi
0.676 0.676 0.750 Bi
0.323 0.323 0.751 As
0.677 0.677 0.249 As
```

Calculated values
Spin magnetization = 0.000 μB/f.u.
N(E_F) = 0.358 states/eV/atom
SG = No. 12

So which one wins? Going from most stable to least: arrangement 2, arrangement 4, arrangement 1, arrangement 3.

Arrangement 1

# Hg2BiAs2

Crystalline Hg2BiAs2 at its relaxed geometry (PBE, the Alexandria database).

```
Hg2BiAs2
1.0
-1.891 1.891 8.991
1.891 -1.891 8.991
1.891 1.891 -8.991
Hg Bi As
2 1 2
direct
0.108 0.108 0.000 Hg
0.892 0.892 0.000 Hg
0.500 0.500 0.000 Bi
0.250 0.750 0.500 As
0.750 0.250 0.500 As
```

Calculated values
Spin magnetization = 0.000 μB/f.u.
N(E_F) = 0.411 states/eV/atom
SG = No. 139

Arrangement 2

# Hg2BiAs2

Crystalline Hg2BiAs2 at its relaxed geometry (PBE, the Alexandria database).

```
Hg2BiAs2
1.0
8.515 0.000 0.000
0.000 8.515 0.000
0.000 0.000 3.463
Hg Bi As
4 2 4
direct
0.118 0.382 0.000 Hg
0.382 0.882 0.000 Hg
0.618 0.118 0.000 Hg
0.882 0.618 0.000 Hg
0.000 0.000 0.500 Bi
0.500 0.500 0.500 Bi
0.199 0.699 0.500 As
0.301 0.199 0.500 As
0.699 0.801 0.500 As
0.801 0.301 0.500 As
```

Calculated values
Spin magnetization = 0.000 μB/f.u.
N(E_F) = 0.398 states/eV/atom
SG = No. 127

So which one wins? Going from most stable to least: arrangement 1, arrangement 2.

Arrangement 1

# TlHgBiAs

Crystalline TlHgBiAs at its relaxed geometry (PBE, the Alexandria database).

```
TlHgBiAs
1.0
3.437 -1.986 0.000
3.437 1.986 0.000
-2.260 0.000 9.744
Tl Hg Bi As
1 1 1 1
direct
0.000 0.000 0.000 Tl
0.418 0.418 0.252 Hg
0.531 0.531 0.588 Bi
0.253 0.253 0.755 As
```

Calculated values
Spin magnetization = 0.000 μB/f.u.
N(E_F) = 0.534 states/eV/atom
SG = No. 8

Arrangement 2

# TlHgBiAs

Crystalline TlHgBiAs at its relaxed geometry (PBE, the Alexandria database).

```
TlHgBiAs
1.0
0.000 3.797 3.797
3.797 0.000 3.797
3.797 3.797 0.000
Tl Hg Bi As
1 1 1 1
direct
0.000 0.000 0.000 Tl
0.750 0.750 0.750 Hg
0.500 0.500 0.500 Bi
0.250 0.250 0.250 As
```

Calculated values
Spin magnetization = 0.000 μB/f.u.
N(E_F) = 0.512 states/eV/atom
SG = No. 216

So which one wins? Going from most stable to least: arrangement 1, arrangement 2.

Arrangement 1

# Bi3AsI

Crystalline Bi3AsI at its relaxed geometry (PBE, the Alexandria database).

```
Bi3AsI
1.0
5.881 0.000 0.000
0.000 5.881 0.000
0.000 0.000 5.881
Bi As I
3 1 1
direct
0.000 0.000 0.500 Bi
0.000 0.500 0.000 Bi
0.500 0.000 0.000 Bi
0.500 0.500 0.500 As
0.000 0.000 0.000 I
```

Calculated values
Spin magnetization = 0.000 μB/f.u.
N(E_F) = 1.407 states/eV/atom
SG = No. 221

Arrangement 2

# Bi3AsI

Crystalline Bi3AsI at its relaxed geometry (PBE, the Alexandria database).

```
Bi3AsI
1.0
5.660 0.000 0.000
0.000 5.660 0.000
0.000 0.000 5.660
Bi As I
3 1 1
direct
0.000 0.000 0.500 Bi
0.000 0.500 0.000 Bi
0.500 0.000 0.000 Bi
0.000 0.000 0.000 As
0.500 0.500 0.500 I
```

Calculated values
Spin magnetization = 0.000 μB/f.u.
N(E_F) = 1.613 states/eV/atom
SG = No. 221

So which one wins? Going from most stable to least: arrangement 2, arrangement 1.